## BeTlIrCl2 (PBE-GGA)

Data for BeTlIrCl2 after structural relaxation.

Results
- Calculated total energy: -3.623 eV/atom
- Energy relative to the elements, uncorrected: 106 meV per atom

Unit cell a=5.0921 b=5.0921 c=4.3386 alpha=90.00 beta=90.00 gamma=90.00
Last column: nearest neighbours and their distance in Å.
Fractional positions:
Be (0.0000, 0.0000, 0.0000)  2 Ir 2.17
Tl (0.5000, 0.5000, 0.0000)  8 Cl 3.34, 4 Be 3.60
Ir (0.0000, 0.0000, 0.5000)  2 Be 2.17
Cl (0.0000, 0.5000, 0.5000)  2 Ir 2.55
Cl (0.5000, 0.0000, 0.5000)  2 Ir 2.55